1.
ScNb PBE-GGA optimized geometry; energy above the lowest structure with this stoichiometry = 0.3348 eV/atom; calculated formation energy = 0.408 eV/atom; symmetry = No. 176
1.0
10.2749 0.0000 0.0000
-5.1374 8.8983 0.0000
0.0000 0.0000 2.9153
Sc Nb
6 6
direct
0.0597 0.3073 0.2500 Sc
0.2475 0.9403 0.2500 Sc
0.3073 0.2475 0.7500 Sc
0.6927 0.7525 0.2500 Sc
0.7525 0.0597 0.7500 Sc
0.9403 0.6927 0.7500 Sc
0.1482 0.6162 0.2500 Nb
0.3838 0.5320 0.2500 Nb
0.4680 0.8518 0.2500 Nb
0.5320 0.1482 0.7500 Nb
0.6162 0.4680 0.7500 Nb
0.8518 0.3838 0.7500 Nb



2.
ScNb PBE-GGA optimized geometry; energy above the lowest structure with this stoichiometry = 0.0533 eV/atom; calculated formation energy = 0.127 eV/atom; symmetry = No. 12
1.0
3.3895 -3.9339 0.0000
3.3895 3.9339 0.0000
-0.0278 0.0000 3.1221
Sc Nb
2 2
direct
0.2017 0.7983 0.0000 Sc
0.7983 0.2017 0.0000 Sc
0.3109 0.3109 0.5074 Nb
0.6891 0.6891 0.4926 Nb



3.
ScNb PBE-GGA optimized geometry; energy above the lowest structure with this stoichiometry = 0.5460 eV/atom; calculated formation energy = 0.619 eV/atom; symmetry = No. 87
1.0
-5.8082 5.8082 1.4079
5.8082 -5.8082 1.4079
5.8082 5.8082 -1.4079
Sc Nb
4 4
direct
0.0658 0.3413 0.4070 Sc
0.3413 0.9342 0.2755 Sc
0.6587 0.0658 0.7245 Sc
0.9342 0.6587 0.5930 Sc
0.1463 0.7943 0.9406 Nb
0.2057 0.1463 0.3520 Nb
0.7943 0.8537 0.6480 Nb
0.8537 0.2057 0.0594 Nb



4.
Sc2Nb PBE-GGA optimized geometry; calculated formation energy = 0.195 eV/atom; symmetry = No. 139
1.0
-1.8272 1.8272 4.8022
1.8272 -1.8272 4.8022
1.8272 1.8272 -4.8022
Sc Nb
2 1
direct
0.1573 0.1573 0.0000 Sc
0.8427 0.8427 0.0000 Sc
0.5000 0.5000 0.0000 Nb



5.
ScNb PBE-GGA optimized geometry; energy above the lowest structure with this stoichiometry = 0.0266 eV/atom; calculated formation energy = 0.100 eV/atom; symmetry = No. 12
1.0
5.3798 -1.7319 0.0000
5.3798 1.7319 0.0000
-2.3894 0.0000 4.4795
Sc Nb
2 2
direct
0.1111 0.1111 0.3609 Sc
0.8889 0.8889 0.6391 Sc
0.3505 0.3505 0.1010 Nb
0.6495 0.6495 0.8990 Nb



6.
ScNb PBE-GGA optimized geometry; energy above the lowest structure with this stoichiometry = 2.4938 eV/atom; calculated formation energy = 2.567 eV/atom; symmetry = No. 223
1.0
7.8546 0.0000 0.0000
0.0000 7.8546 0.0000
0.0000 0.0000 7.8546
Sc Nb
6 6
direct
0.0000 0.2500 0.5000 Sc
0.0000 0.7500 0.5000 Sc
0.2500 0.5000 0.0000 Sc
0.5000 0.0000 0.2500 Sc
0.5000 0.0000 0.7500 Sc
0.7500 0.5000 0.0000 Sc
0.0000 0.5000 0.2500 Nb
0.0000 0.5000 0.7500 Nb
0.2500 0.0000 0.5000 Nb
0.5000 0.2500 0.0000 Nb
0.5000 0.7500 0.0000 Nb
0.7500 0.0000 0.5000 Nb



7.
ScNb PBE-GGA optimized geometry; energy above the lowest structure with this stoichiometry = 1.5425 eV/atom; calculated formation energy = 1.616 eV/atom; symmetry = No. 217
1.0
-4.2700 4.2700 4.2700
4.2700 -4.2700 4.2700
4.2700 4.2700 -4.2700
Sc Nb
4 4
direct
0.0000 0.0000 0.5815 Sc
0.0000 0.5815 0.0000 Sc
0.4185 0.4185 0.4185 Sc
0.5815 0.0000 0.0000 Sc
0.0000 0.0000 0.2166 Nb
0.0000 0.2166 0.0000 Nb
0.2166 0.0000 0.0000 Nb
0.7834 0.7834 0.7834 Nb



8.
ScNb PBE-GGA optimized geometry; energy above the lowest structure with this stoichiometry = 0.0786 eV/atom; calculated formation energy = 0.152 eV/atom; symmetry = No. 12
1.0
2.9360 -4.9897 0.0000
2.9360 4.9897 0.0000
-1.1134 0.0000 2.7931
Sc Nb
2 2
direct
0.2311 0.7689 0.0000 Sc
0.7689 0.2311 0.0000 Sc
0.2600 0.2600 0.6208 Nb
0.7400 0.7400 0.3792 Nb



9.
ScNb PBE-GGA optimized geometry; energy above the lowest structure with this stoichiometry = 2.3699 eV/atom; calculated formation energy = 2.443 eV/atom; symmetry = No. 216
1.0
0.0000 3.1763 3.1763
3.1763 0.0000 3.1763
3.1763 3.1763 0.0000
Sc Nb
1 1
direct
0.0000 0.0000 0.0000 Sc
0.7500 0.7500 0.7500 Nb



10.
ScNb PBE-GGA optimized geometry; energy above the lowest structure with this stoichiometry = 0.4839 eV/atom; calculated formation energy = 0.557 eV/atom; symmetry = No. 71
1.0
-1.4362 2.5492 2.8709
1.4362 -2.5492 2.8709
1.4362 2.5492 -2.8709
Sc Nb
1 1
direct
0.0000 0.0000 0.0000 Sc
0.5000 0.5000 0.0000 Nb



11.
ScNbSe PBE-GGA optimized geometry; electronic total energy = -0.256 hartree per atom; symmetry = No. 12
1.0
4.5463 -2.3178 0.0000
4.5463 2.3178 0.0000
-0.9948 0.0000 5.9497
Sc Nb Se
2 2 2
direct
0.1351 0.1351 0.3510 Sc
0.8649 0.8649 0.6490 Sc
0.1900 0.1900 0.8920 Nb
0.8100 0.8100 0.1080 Nb
0.4181 0.4181 0.2383 Se
0.5819 0.5819 0.7617 Se



12.
Sc2NbSe PBE-GGA optimized geometry; electronic total energy = -0.245 hartree per atom; symmetry = No. 122
1.0
-3.9636 3.9636 2.7126
3.9636 -3.9636 2.7126
3.9636 3.9636 -2.7126
Sc Nb Se
4 2 2
direct
0.0688 0.6250 0.9438 Sc
0.3750 0.3188 0.4438 Sc
0.6812 0.1250 0.0562 Sc
0.8750 0.9312 0.5562 Sc
0.2500 0.7500 0.5000 Nb
0.5000 0.5000 0.0000 Nb
0.0000 0.0000 0.0000 Se
0.7500 0.2500 0.5000 Se



13.
Sc2NbSe PBE-GGA optimized geometry; electronic total energy = -0.247 hartree per atom; symmetry = No. 166
1.0
1.6876 0.9744 8.9427
-1.6876 0.9744 8.9427
0.0000 -1.9487 8.9427
Sc Nb Se
2 1 1
direct
0.0992 0.0992 0.0992 Sc
0.9008 0.9008 0.9008 Sc
0.0000 0.0000 0.0000 Nb
0.5000 0.5000 0.5000 Se



14.
Sc2NbSe PBE-GGA optimized geometry; electronic total energy = -0.241 hartree per atom; symmetry = No. 166
1.0
1.6321 0.9423 9.8347
-1.6321 0.9423 9.8347
0.0000 -1.8846 9.8347
Sc Nb Se
2 1 1
direct
0.0874 0.0874 0.0874 Sc
0.9126 0.9126 0.9126 Sc
0.5000 0.5000 0.5000 Nb
0.0000 0.0000 0.0000 Se



15.
ScNb2Se PBE-GGA optimized geometry; electronic total energy = -0.279 hartree per atom; symmetry = No. 122
1.0
-1.9514 1.9514 10.2984
1.9514 -1.9514 10.2984
1.9514 1.9514 -10.2984
Sc Nb Se
2 4 2
direct
0.0000 0.0000 0.0000 Sc
0.7500 0.2500 0.5000 Sc
0.1329 0.6250 0.0079 Nb
0.3750 0.3829 0.5079 Nb
0.6171 0.1250 0.9921 Nb
0.8750 0.8671 0.4921 Nb
0.2500 0.7500 0.5000 Se
0.5000 0.5000 0.0000 Se



16.
Sc2NbSiSe PBE-GGA optimized geometry; electronic total energy = -0.209 hartree per atom; symmetry = No. 123
1.0
4.9755 0.0000 0.0000
0.0000 4.9755 0.0000
0.0000 0.0000 4.7293
Sc Nb Si Se
2 1 1 1
direct
0.0000 0.5000 0.0000 Sc
0.5000 0.0000 0.0000 Sc
0.0000 0.0000 0.5000 Nb
0.5000 0.5000 0.0000 Si
0.5000 0.5000 0.5000 Se



17.
ScNbSnSe2 PBE-GGA optimized geometry; electronic total energy = -0.171 hartree per atom; symmetry = No. 123
1.0
5.2610 0.0000 0.0000
0.0000 5.2610 0.0000
0.0000 0.0000 5.2740
Sc Nb Sn Se
1 1 1 2
direct
0.0000 0.0000 0.0000 Sc
0.5000 0.5000 0.0000 Nb
0.5000 0.5000 0.5000 Sn
0.0000 0.5000 0.5000 Se
0.5000 0.0000 0.5000 Se



18.
ScNbSi3 PBE-GGA optimized geometry; electronic total energy = -0.226 hartree per atom; symmetry = No. 221
1.0
4.7837 0.0000 0.0000
0.0000 4.7837 0.0000
0.0000 0.0000 4.7837
Sc Nb Si
1 1 3
direct
0.0000 0.0000 0.0000 Sc
0.5000 0.5000 0.5000 Nb
0.0000 0.5000 0.5000 Si
0.5000 0.0000 0.5000 Si
0.5000 0.5000 0.0000 Si



19.
Sc2Nb3Si4 PBE-GGA optimized geometry; energy above the lowest structure with this stoichiometry = 0.0031 eV/atom; symmetry = No. 62
1.0
6.7149 0.0000 0.0000
0.0000 13.1383 0.0000
0.0000 0.0000 6.9111
Sc Nb Si
8 12 16
direct
0.0021 0.0958 0.1740 Sc
0.0021 0.4042 0.1740 Sc
0.4979 0.5958 0.6740 Sc
0.4979 0.9042 0.6740 Sc
0.5021 0.0958 0.3260 Sc
0.5021 0.4042 0.3260 Sc
0.9979 0.5958 0.8260 Sc
0.9979 0.9042 0.8260 Sc
0.1622 0.7500 0.4951 Nb
0.1632 0.1251 0.6755 Nb
0.1632 0.3749 0.6755 Nb
0.3368 0.6251 0.1755 Nb
0.3368 0.8749 0.1755 Nb
0.3378 0.2500 0.9951 Nb
0.6622 0.7500 0.0049 Nb
0.6632 0.1251 0.8245 Nb
0.6632 0.3749 0.8245 Nb
0.8368 0.6251 0.3245 Nb
0.8368 0.8749 0.3245 Nb
0.8378 0.2500 0.5049 Nb
0.0395 0.7500 0.1125 Si
0.1680 0.5394 0.4678 Si
0.1680 0.9606 0.4678 Si
0.2053 0.2500 0.3631 Si
0.2947 0.7500 0.8631 Si
0.3320 0.0394 0.9678 Si
0.3320 0.4606 0.9678 Si
0.4605 0.2500 0.6125 Si
0.5395 0.7500 0.3875 Si
0.6680 0.5394 0.0322 Si
0.6680 0.9606 0.0322 Si
0.7053 0.2500 0.1369 Si
0.7947 0.7500 0.6369 Si
0.8320 0.0394 0.5322 Si
0.8320 0.4606 0.5322 Si
0.9605 0.2500 0.8875 Si



20.
ScNbSi3 PBE-GGA optimized geometry; electronic total energy = -0.195 hartree per atom; symmetry = No. 221
1.0
4.7147 0.0000 0.0000
0.0000 4.7147 0.0000
0.0000 0.0000 4.7147
Sc Nb Si
1 1 3
direct
0.0000 0.0000 0.0000 Sc
0.5000 0.5000 0.5000 Nb
0.0000 0.0000 0.5000 Si
0.0000 0.5000 0.0000 Si
0.5000 0.0000 0.0000 Si



Let's list size of the total moment in order: 0.00 0.00 0.00 0.00 0.00 21.81 3.91 0.00 4.06 0.00 0.00 0.00 0.00 0.00 0.00 0.00 2.09 0.00 0.00 0.00 Bohr magnetons per cell.
Let's list density in order: 5.15 5.50 4.82 4.73 5.49 2.83 2.94 5.59 3.57 5.45 5.74 5.10 4.93 4.79 6.56 4.11 4.72 3.37 5.24 3.52 g/cm³.